This record from the Alexandria database describes a geometry-optimized In4CoBr2 structure. The functional is PBE-GGA.

Results
The value obtained for the total energy is -3.321 eV/atom. The formation energy without anion corrections comes out at -0.263 eV per atom.

Structure (extended XYZ):
```
7
Lattice="-2.491 2.491 8.309 2.491 -2.491 8.309 2.491 2.491 -8.309" Properties=species:S:1:pos:R:3 pbc="T T T"
In 2.491 0.000 0.000
In 0.000 0.000 2.472
In 0.000 2.491 0.000
In 0.000 0.000 14.147
Co 0.000 0.000 0.000
Br 0.000 0.000 5.286
Br 0.000 0.000 11.333
```